{"formula": "HoEr4Ir2", "functional": "PBE-GGA", "state": "relaxed", "dos_at_fermi_per_ev_cell": 14.16, "total_magnetization_mub_per_cell": 0.0, "dft_energy_ev_per_atom": -6.366, "delta_e_f_kj_per_mol_fu": -387, "lattice_angstrom": [[7.805, 0.000, 0.000], [0.000, 6.260, 0.000], [-3.013, 0.000, 7.234]], "species": ["Ho", "Ho", "Er", "Er", "Er", "Er", "Er", "Er", "Er", "Er", "Ir", "Ir", "Ir", "Ir"], "fractional_positions": [[0.028, 0.250, 0.158], [0.972, 0.750, 0.842], [0.237, 0.503, 0.584], [0.237, 0.997, 0.584], [0.334, 0.750, 0.249], [0.380, 0.250, 0.016], [0.620, 0.750, 0.984], [0.666, 0.250, 0.751], [0.763, 0.003, 0.416], [0.763, 0.497, 0.416], [0.015, 0.250, 0.742], [0.411, 0.250, 0.374], [0.589, 0.750, 0.626], [0.985, 0.750, 0.258]]}